PrAgAu | PBE-GGA | optimized geometry

## Properties
The calculation puts the distance to the lowest polymorph of the same formula at 50.1 meV/atom. The calculation puts the size of the total moment at 0.0 μB per formula unit. For the formation energy, the calculation gives -0.5132 eV per atom. The symmetry is I4mm (107).

abc: 5.4514 5.4514 5.4514
angles: 138.27 138.27 60.49
With the nearest neighbours (Å) after each atom.
Sites, in units of the cell vectors:
Pr 0.0000 0.0000 0.0000  5 Ag 3.06-3.20, 5 Au 3.14-3.18
Ag 0.3252 0.3252 0.0000  5 Pr 3.06-3.20, 5 Au 3.15-3.17
Au 0.6621 0.6621 0.0000  5 Pr 3.14-3.18, 5 Ag 3.15-3.17

***

TaTe4Au3 | PBE-GGA | optimized geometry

## Properties
The value obtained for the formation energy (no corrections) is -0.232 eV/atom. The calculation puts the size of the total moment at 0.0 μB per formula unit. The symmetry is P-43m (215).

abc: 6.3568 6.3568 6.3568
angles: 90.00 90.00 90.00
With the nearest neighbours (Å) after each atom.
Sites, in units of the cell vectors:
Ta 0.0000 0.0000 0.0000  4 Te 2.73
Te 0.2478 0.2478 0.2478  1 Ta 2.73, 3 Au 2.74
Te 0.2478 0.7522 0.7522  1 Ta 2.73, 3 Au 2.74
Te 0.7522 0.2478 0.7522  1 Ta 2.73, 3 Au 2.74
Te 0.7522 0.7522 0.2478  1 Ta 2.73, 3 Au 2.74
Au 0.0000 0.0000 0.5000  4 Te 2.74
Au 0.0000 0.5000 0.0000  4 Te 2.74
Au 0.5000 0.0000 0.0000  4 Te 2.74

***

- Look up the size of the total moment of the first one.
  0.0 μB per formula unit